Run A
Below is a geometry-optimized LaAgTeN2 structure, with properties calculated at the PBE-GGA level.

Unit cell a=4.2332 b=4.2332 c=7.0689 alpha=90.00 beta=90.00 gamma=90.00
Fractional positions:
La: 0.0000 0.0000 0.0000
Ag: 0.5000 0.5000 0.5000
Te: 0.0000 0.0000 0.5000
N: 0.0000 0.5000 0.0000
N: 0.5000 0.0000 0.0000

=====

Run B
Below is a geometry-optimized LaAgTeN2 structure, with properties calculated at the PBE-GGA level.

Unit cell a=4.4526 b=4.4526 c=5.2195 alpha=90.00 beta=90.00 gamma=90.00
Fractional positions:
La: 0.0000 0.0000 0.0000
Ag: 0.5000 0.5000 0.5000
Te: 0.5000 0.5000 0.0000
N: 0.0000 0.5000 0.5000
N: 0.5000 0.0000 0.5000

=====

Stability, descending: run A, run B

=====

Run A
Below is a geometry-optimized Na2La2Ag structure, with properties calculated at the PBE-GGA level.

Unit cell a=7.7753 b=7.7753 c=6.1061 alpha=90.00 beta=90.00 gamma=90.00
Fractional positions:
Na: 0.1671 0.3329 0.0000
Na: 0.3329 0.8329 0.0000
Na: 0.6671 0.1671 0.0000
Na: 0.8329 0.6671 0.0000
La: 0.1403 0.6403 0.5000
La: 0.3597 0.1403 0.5000
La: 0.6403 0.8597 0.5000
La: 0.8597 0.3597 0.5000
Ag: 0.0000 0.0000 0.5000
Ag: 0.5000 0.5000 0.5000

=====

Run B
Below is a geometry-optimized Na2La2Ag structure, with properties calculated at the PBE-GGA level.

Unit cell a=7.2750 b=7.2750 c=5.8117 alpha=90.00 beta=90.00 gamma=90.00
Fractional positions:
Na: 0.1400 0.3600 0.0000
Na: 0.3600 0.8600 0.0000
Na: 0.6400 0.1400 0.0000
Na: 0.8600 0.6400 0.0000
La: 0.1773 0.6773 0.5000
La: 0.3227 0.1773 0.5000
La: 0.6773 0.8227 0.5000
La: 0.8227 0.3227 0.5000
Ag: 0.0000 0.0000 0.0000
Ag: 0.5000 0.5000 0.0000

=====

Stability, descending: run B, run A

=====

Run A
Below is a geometry-optimized NaLa2Ag2 structure, with properties calculated at the PBE-GGA level.

Unit cell a=3.8753 b=3.8753 c=21.4790 alpha=90.00 beta=90.00 gamma=90.00
Fractional positions:
Na: 0.0000 0.0000 0.0000
Na: 0.5000 0.5000 0.5000
La: 0.0000 0.0000 0.3700
La: 0.0000 0.0000 0.6300
La: 0.5000 0.5000 0.1300
La: 0.5000 0.5000 0.8700
Ag: 0.0000 0.5000 0.2500
Ag: 0.0000 0.5000 0.7500
Ag: 0.5000 0.0000 0.2500
Ag: 0.5000 0.0000 0.7500

=====

Run B
Below is a geometry-optimized NaLa2Ag2 structure, with properties calculated at the PBE-GGA level.

Unit cell a=8.6041 b=8.6041 c=3.9963 alpha=90.00 beta=90.00 gamma=90.00
Fractional positions:
Na: 0.0000 0.0000 0.0000
Na: 0.5000 0.5000 0.0000
La: 0.1621 0.3379 0.5000
La: 0.3379 0.8379 0.5000
La: 0.6621 0.1621 0.5000
La: 0.8379 0.6621 0.5000
Ag: 0.1288 0.6288 0.0000
Ag: 0.3712 0.1288 0.0000
Ag: 0.6288 0.8712 0.0000
Ag: 0.8712 0.3712 0.0000

=====

Stability, descending: run B, run A

=====

Run A
Below is a geometry-optimized NaLa2Ag structure, with properties calculated at the PBE-GGA level.

Unit cell a=3.5637 b=3.5637 c=36.7625 alpha=90.00 beta=90.00 gamma=120.00
Fractional positions:
Na: 0.0000 0.0000 0.0000
Na: 0.3333 0.6667 0.6667
Na: 0.6667 0.3333 0.3333
La: 0.0000 0.0000 0.0991
La: 0.0000 0.0000 0.9009
La: 0.3333 0.6667 0.5676
La: 0.3333 0.6667 0.7657
La: 0.6667 0.3333 0.2343
La: 0.6667 0.3333 0.4324
Ag: 0.0000 0.0000 0.5000
Ag: 0.3333 0.6667 0.1667
Ag: 0.6667 0.3333 0.8333

=====

Run B
Below is a geometry-optimized NaLa2Ag structure, with properties calculated at the PBE-GGA level.

Unit cell a=3.5838 b=3.5838 c=10.2013 alpha=90.00 beta=90.00 gamma=90.00
Fractional positions:
Na: 0.0000 0.0000 0.0000
La: 0.5000 0.5000 0.2991
La: 0.5000 0.5000 0.7009
Ag: 0.0000 0.0000 0.5000

=====

Run C
Below is a geometry-optimized NaLa2Ag structure, with properties calculated at the PBE-GGA level.

Unit cell a=8.9079 b=8.9079 c=6.6082 alpha=90.00 beta=90.00 gamma=90.00
Fractional positions:
Na: 0.0000 0.0000 0.0000
Na: 0.0000 0.5000 0.2500
Na: 0.5000 0.0000 0.7500
Na: 0.5000 0.5000 0.5000
La: 0.2143 0.2500 0.6250
La: 0.2500 0.7143 0.8750
La: 0.2500 0.7857 0.3750
La: 0.2857 0.2500 0.1250
La: 0.7143 0.7500 0.1250
La: 0.7500 0.2143 0.3750
La: 0.7500 0.2857 0.8750
La: 0.7857 0.7500 0.6250
Ag: 0.0000 0.0000 0.5000
Ag: 0.0000 0.5000 0.7500
Ag: 0.5000 0.0000 0.2500
Ag: 0.5000 0.5000 0.0000

=====

Stability, descending: run B, run A, run C

=====

Run A
Below is a geometry-optimized NaLa2Ag structure, with properties calculated at the PBE-GGA level.

Unit cell a=7.8761 b=7.8761 c=7.8761 alpha=90.00 beta=90.00 gamma=90.00
Fractional positions:
Na: 0.0000 0.0000 0.0000
Na: 0.0000 0.5000 0.5000
Na: 0.5000 0.0000 0.5000
Na: 0.5000 0.5000 0.0000
La: 0.2500 0.2500 0.2500
La: 0.2500 0.2500 0.7500
La: 0.2500 0.7500 0.2500
La: 0.2500 0.7500 0.7500
La: 0.7500 0.2500 0.2500
La: 0.7500 0.2500 0.7500
La: 0.7500 0.7500 0.2500
La: 0.7500 0.7500 0.7500
Ag: 0.0000 0.0000 0.5000
Ag: 0.0000 0.5000 0.0000
Ag: 0.5000 0.0000 0.0000
Ag: 0.5000 0.5000 0.5000

=====

Run B
Below is a geometry-optimized NaLa2Ag structure, with properties calculated at the PBE-GGA level.

Unit cell a=3.6501 b=3.6501 c=34.4303 alpha=90.00 beta=90.00 gamma=120.00
Fractional positions:
Na: 0.0000 0.0000 0.0000
Na: 0.3333 0.6667 0.6667
Na: 0.6667 0.3333 0.3333
La: 0.0000 0.0000 0.5708
La: 0.0000 0.0000 0.7628
La: 0.3333 0.6667 0.2375
La: 0.3333 0.6667 0.4295
La: 0.6667 0.3333 0.0961
La: 0.6667 0.3333 0.9042
Ag: 0.0000 0.0000 0.1668
Ag: 0.3333 0.6667 0.8335
Ag: 0.6667 0.3333 0.5001

=====

Stability, descending: run B, run A

=====

Run A
Below is a geometry-optimized Na2LaAg2 structure, with properties calculated at the PBE-GGA level.

Unit cell a=8.0692 b=8.0692 c=4.2263 alpha=90.00 beta=90.00 gamma=90.00
Fractional positions:
Na: 0.1589 0.3411 0.0000
Na: 0.3411 0.8411 0.0000
Na: 0.6589 0.1589 0.0000
Na: 0.8411 0.6589 0.0000
La: 0.0000 0.0000 0.5000
La: 0.5000 0.5000 0.5000
Ag: 0.1264 0.6264 0.5000
Ag: 0.3736 0.1264 0.5000
Ag: 0.6264 0.8736 0.5000
Ag: 0.8736 0.3736 0.5000

=====

Run B
Below is a geometry-optimized Na2LaAg2 structure, with properties calculated at the PBE-GGA level.

Unit cell a=8.7958 b=8.7958 c=3.2171 alpha=90.00 beta=90.00 gamma=90.00
Fractional positions:
Na: 0.1162 0.3838 0.0000
Na: 0.3838 0.8838 0.0000
Na: 0.6162 0.1162 0.0000
Na: 0.8838 0.6162 0.0000
La: 0.0000 0.0000 0.0000
La: 0.5000 0.5000 0.0000
Ag: 0.1837 0.6837 0.5000
Ag: 0.3163 0.1837 0.5000
Ag: 0.6837 0.8163 0.5000
Ag: 0.8163 0.3163 0.5000

=====

Stability, descending: run B, run A

=====

Run A
Below is a geometry-optimized LaNbAg2 structure, with properties calculated at the PBE-GGA level.

Unit cell a=7.1983 b=7.1983 c=7.1983 alpha=90.00 beta=90.00 gamma=90.00
Fractional positions:
La: 0.0000 0.0000 0.0000
La: 0.0000 0.5000 0.5000
La: 0.5000 0.0000 0.5000
La: 0.5000 0.5000 0.0000
Nb: 0.0000 0.0000 0.5000
Nb: 0.0000 0.5000 0.0000
Nb: 0.5000 0.0000 0.0000
Nb: 0.5000 0.5000 0.5000
Ag: 0.2500 0.2500 0.2500
Ag: 0.2500 0.2500 0.7500
Ag: 0.2500 0.7500 0.2500
Ag: 0.2500 0.7500 0.7500
Ag: 0.7500 0.2500 0.2500
Ag: 0.7500 0.2500 0.7500
Ag: 0.7500 0.7500 0.2500
Ag: 0.7500 0.7500 0.7500

=====

Run B
Below is a geometry-optimized LaNbAg2 structure, with properties calculated at the PBE-GGA level.

Unit cell a=8.1535 b=8.1535 c=5.7273 alpha=90.00 beta=90.00 gamma=90.00
Fractional positions:
La: 0.0000 0.0000 0.0000
La: 0.0000 0.5000 0.2500
La: 0.5000 0.0000 0.7500
La: 0.5000 0.5000 0.5000
Nb: 0.0000 0.0000 0.5000
Nb: 0.0000 0.5000 0.7500
Nb: 0.5000 0.0000 0.2500
Nb: 0.5000 0.5000 0.0000
Ag: 0.2120 0.7500 0.6250
Ag: 0.2500 0.2120 0.3750
Ag: 0.2500 0.2880 0.8750
Ag: 0.2880 0.7500 0.1250
Ag: 0.7120 0.2500 0.1250
Ag: 0.7500 0.7120 0.8750
Ag: 0.7500 0.7880 0.3750
Ag: 0.7880 0.2500 0.6250

=====

Stability, descending: run A, run B

=====

Run A
Below is a geometry-optimized LaNd2Ag structure, with properties calculated at the PBE-GGA level.

Unit cell a=3.7026 b=3.7026 c=32.7423 alpha=90.00 beta=90.00 gamma=120.00
Fractional positions:
La: 0.0000 0.0000 0.0000
La: 0.3333 0.6667 0.6667
La: 0.6667 0.3333 0.3333
Nd: 0.0000 0.0000 0.5728
Nd: 0.0000 0.0000 0.7619
Nd: 0.3333 0.6667 0.2395
Nd: 0.3333 0.6667 0.4286
Nd: 0.6667 0.3333 0.0952
Nd: 0.6667 0.3333 0.9061
Ag: 0.0000 0.0000 0.1674
Ag: 0.3333 0.6667 0.8341
Ag: 0.6667 0.3333 0.5007

=====

Run B
Below is a geometry-optimized LaNd2Ag structure, with properties calculated at the PBE-GGA level.

Unit cell a=7.1437 b=10.7825 c=6.6626 alpha=90.00 beta=90.00 gamma=90.00
Fractional positions:
La: 0.0104 0.2500 0.1299
La: 0.4896 0.7500 0.6299
La: 0.5104 0.2500 0.3701
La: 0.9896 0.7500 0.8701
Nd: 0.1923 0.0421 0.6630
Nd: 0.1923 0.4579 0.6630
Nd: 0.3077 0.5421 0.1630
Nd: 0.3077 0.9579 0.1630
Nd: 0.6923 0.0421 0.8370
Nd: 0.6923 0.4579 0.8370
Nd: 0.8077 0.5421 0.3370
Nd: 0.8077 0.9579 0.3370
Ag: 0.1027 0.7500 0.4052
Ag: 0.3973 0.2500 0.9052
Ag: 0.6027 0.7500 0.0948
Ag: 0.8973 0.2500 0.5948

=====

Stability, descending: run B, run A